(1)
Material: KCa2La
Method: DFT, SCAN
State: single point on PBEsol structure

Lattice parameters (Å, degrees): 6.2376 6.2376 6.2376 60.00 60.00 60.00
Last column: nearest neighbours and their distance in Å.
Element x y z (fractional)
Ca 0.2500 0.2500 0.2500  4 La 3.82, 4 K 3.82
La 0.5000 0.5000 0.5000  8 Ca 3.82
Ca 0.7500 0.7500 0.7500  4 La 3.82, 4 K 3.82
K 0.0000 0.0000 0.0000  8 Ca 3.82

Results
ΔH_f (0 K) = 0.344 eV per atom
Crystal system = cubic
Space group = Fm-3m, No. 225

(2)
Material: ZnSb2Os
Method: DFT, SCAN
State: single point on PBEsol structure

Lattice parameters (Å, degrees): 3.1112 4.2055 6.7656 108.11 103.29 90.00
Last column: nearest neighbours and their distance in Å.
Element x y z (fractional)
Sb 0.0532 0.0532 0.1064  2 Os 2.68, 4 Zn 2.99
Os 0.7284 0.2284 0.4568  6 Sb 2.68-2.70
Sb 0.2820 0.7820 0.5640  4 Os 2.70, 2 Zn 2.85
Zn 0.4365 0.4365 0.8729  6 Sb 2.85-2.99, 2 Os 3.03, 2 Zn 3.11

Results
Crystal system = orthorhombic
Space group = Imm2, No. 44
Raw formation energy = 1.61 eV per formula unit

(3)
Material: CuIrCl3
Method: DFT, SCAN
State: single point on PBEsol structure

Lattice parameters (Å, degrees): 4.5507 4.5507 4.5507 90.00 90.00 90.00
Last column: nearest neighbours and their distance in Å.
Element x y z (fractional)
Cl 0.0000 0.5000 0.0000  2 Cu 2.28
Cu 0.0000 0.0000 0.0000  6 Cl 2.28
Ir 0.5000 0.5000 0.5000  12 Cl 3.22
Cl 0.0000 0.0000 0.5000  2 Cu 2.28
Cl 0.5000 0.0000 0.0000  2 Cu 2.28

Results
Crystal system = cubic
Space group = Pm-3m, No. 221
Raw formation energy = 3.45 eV per formula unit

(4)
Material: RePCl6O3
Method: DFT, SCAN
State: single point on PBEsol structure

Lattice parameters (Å, degrees): 6.4047 12.4543 13.7197 90.00 99.58 90.00
Last column: nearest neighbours and their distance in Å.
Element x y z (fractional)
P 0.0995 0.0974 0.8227  1 O 1.49
O 0.5245 0.1074 0.5519  1 Re 1.70
Cl 0.6475 0.3362 0.5079  1 Re 2.30
Cl 0.9287 0.8788 0.5565  1 Re 2.28
O 0.2822 0.2702 0.5957  1 Re 1.72
Cl 0.5505 0.6851 0.1644  1 Re 2.37
Cl 0.9147 0.5252 0.3417  1 P 1.98
O 0.7178 0.7702 0.9043  1 Re 1.72
Cl 0.4495 0.1851 0.3356  1 Re 2.37
Cl 0.0853 0.4748 0.6583  1 P 1.98
O 0.8136 0.8525 0.0809  1 P 1.49
Re 0.6221 0.7877 0.5019  2 O 1.70-1.72
Cl 0.0748 0.8049 0.2712  1 P 1.98
Cl 0.3179 0.4619 0.2512  1 P 1.98
P 0.9005 0.9026 0.1773  1 O 1.49
Cl 0.5505 0.8149 0.6644  1 Re 2.37
Cl 0.9252 0.3049 0.2288  1 P 1.98
Cl 0.9252 0.1951 0.7288  1 P 1.98
Cl 0.0748 0.6951 0.7712  1 P 1.98
O 0.1864 0.3525 0.4191  1 P 1.49
O 0.1864 0.1475 0.9191  1 P 1.49
Cl 0.6821 0.5381 0.7488  1 P 1.98
Cl 0.3179 0.0381 0.7512  1 P 1.98
O 0.4755 0.6074 0.9481  1 Re 1.70
O 0.8136 0.6475 0.5809  1 P 1.49
Cl 0.3525 0.8362 0.9921  1 Re 2.30
Cl 0.9147 0.9748 0.8417  1 P 1.98
Cl 0.0853 0.0252 0.1583  1 P 1.98
Cl 0.3525 0.6638 0.4921  1 Re 2.30
Re 0.3779 0.2123 0.4981  2 O 1.70-1.72
O 0.7178 0.7298 0.4043  1 Re 1.72
P 0.9005 0.5974 0.6773  1 O 1.49
Cl 0.0713 0.3788 0.9435  1 Re 2.28
Cl 0.6821 0.9619 0.2488  1 P 1.98
P 0.0995 0.4026 0.3227  1 O 1.49
Re 0.3779 0.2877 0.9981  2 O 1.70-1.72
O 0.5245 0.3926 0.0519  1 Re 1.70
Cl 0.6475 0.1638 0.0079  1 Re 2.30
O 0.2822 0.2298 0.0957  1 Re 1.72
Cl 0.4495 0.3149 0.8356  1 Re 2.37
Cl 0.9287 0.6212 0.0565  1 Re 2.28
Re 0.6221 0.7123 0.0019  2 O 1.70-1.72
Cl 0.0713 0.1212 0.4435  1 Re 2.28
O 0.4755 0.8926 0.4481  1 Re 1.70

Results
Crystal system = monoclinic
Space group = P2_1/c, No. 14
Raw formation energy = -12.10 eV per formula unit

(5)
Material: In2CuTc
Method: DFT, SCAN
State: single point on PBEsol structure

Lattice parameters (Å, degrees): 3.3405 4.2709 5.3893 113.34 108.05 90.00
Last column: nearest neighbours and their distance in Å.
Element x y z (fractional)
Cu 0.2408 0.7408 0.4816  2 Tc 2.67, 6 In 2.72-2.82
Tc 0.5175 0.5175 0.0350  2 Cu 2.67, 6 In 2.73-2.94
In 0.7574 0.2574 0.5148  4 Cu 2.72, 2 Tc 2.94, 2 In 3.00
In 0.9843 0.9843 0.9686  4 Tc 2.73, 2 Cu 2.82, 4 In 3.00-3.04

Results
ΔH_f (0 K) = 0.232 eV per atom
Crystal system = orthorhombic
Space group = Imm2, No. 44

(6)
Material: SrHf2TlHg
Method: DFT, SCAN
State: single point on PBEsol structure

Lattice parameters (Å, degrees): 5.2722 5.2722 5.5009 90.00 90.00 90.00
Last column: nearest neighbours and their distance in Å.
Element x y z (fractional)
Sr 0.0000 0.0000 0.0000  4 Hf 2.64, 2 Hg 2.75
Hf 0.0000 0.5000 0.0000  2 Sr 2.64
Hf 0.5000 0.0000 0.0000  2 Sr 2.64
Tl 0.5000 0.5000 0.5000  4 Hg 3.73, 8 Hf 3.81
Hg 0.0000 0.0000 0.5000  2 Sr 2.75

Results
ΔH_f (0 K) = 1.834 eV per atom
Crystal system = tetragonal
Space group = P4/mmm, No. 123

(7)
Material: SrCo2Si
Method: DFT, SCAN
State: single point on PBEsol structure

Lattice parameters (Å, degrees): 3.9930 3.9930 5.7569 69.71 69.71 60.00
Last column: nearest neighbours and their distance in Å.
Element x y z (fractional)
Co 0.3169 0.3169 0.0492  3 Si 2.32, 3 Co 2.36
Si 0.0000 0.0000 0.0000  6 Co 2.32
Co 0.6831 0.6831 0.9508  3 Si 2.32, 3 Co 2.36
Sr 0.5000 0.5000 0.5000  2 Co 2.90

Results
Crystal system = trigonal
Space group = R-3m, No. 166
Raw formation energy = -1.05 eV per formula unit

(8)
Material: YZrSc
Method: DFT, SCAN
State: single point on PBEsol structure

Lattice parameters (Å, degrees): 3.2818 4.5566 5.7031 113.55 106.72 90.00
Last column: nearest neighbours and their distance in Å.
Element x y z (fractional)
Sc 0.9917 0.9917 0.9833  5 Zr 3.19-3.46, 5 Y 3.21-3.31, 2 Sc 3.28
Zr 0.3397 0.3397 0.6794  5 Sc 3.19-3.46, 5 Y 3.27-3.28, 2 Zr 3.28
Y 0.6686 0.6686 0.3373  5 Sc 3.21-3.31, 5 Zr 3.27-3.28, 2 Y 3.28

Results
ΔH_f (0 K) = 0.118 eV per atom
Crystal system = orthorhombic
Space group = Imm2, No. 44

(9)
Material: CoCu3Bi
Method: DFT, SCAN
State: single point on PBEsol structure

Lattice parameters (Å, degrees): 4.3967 4.3967 4.3967 90.00 90.00 90.00
Last column: nearest neighbours and their distance in Å.
Element x y z (fractional)
Cu 0.0000 0.5000 0.0000  2 Co 2.20
Cu 0.0000 0.0000 0.5000  2 Co 2.20
Cu 0.5000 0.0000 0.0000  2 Co 2.20
Co 0.0000 0.0000 0.0000  6 Cu 2.20
Bi 0.5000 0.5000 0.5000  12 Cu 3.11

Results
ΔH_f (0 K) = 0.820 eV per atom
Crystal system = cubic
Space group = Pm-3m, No. 221

(10)
Material: SnP3
Method: DFT, SCAN
State: single point on PBEsol structure

Lattice parameters (Å, degrees): 5.4649 5.4649 5.4649 84.64 84.64 84.64
Last column: nearest neighbours and their distance in Å.
Element x y z (fractional)
P 0.7943 0.2540 0.7943  2 P 2.23
P 0.2057 0.7460 0.2057  2 P 2.23
Sn 0.2563 0.2563 0.2563  6 P 2.66-2.87
Sn 0.7437 0.7437 0.7437  6 P 2.66-2.87
P 0.7943 0.7943 0.2540  2 P 2.23
P 0.2057 0.2057 0.7460  2 P 2.23
P 0.7460 0.2057 0.2057  2 P 2.23
P 0.2540 0.7943 0.7943  2 P 2.23

Results
ΔH_f (0 K) = 0.019 eV per atom
Crystal system = trigonal
Space group = R-3m, No. 166

(11)
Material: Zr2ScFe
Method: DFT, SCAN
State: single point on PBEsol structure

Lattice parameters (Å, degrees): 3.2783 4.6864 4.6864 90.00 90.00 90.00
Last column: nearest neighbours and their distance in Å.
Element x y z (fractional)
Sc 0.5000 0.0000 0.0000  8 Zr 2.86
Fe 0.5000 0.5000 0.5000  8 Zr 2.86
Zr 0.0000 0.5000 0.0000  4 Fe 2.86, 4 Sc 2.86
Zr 0.0000 0.0000 0.5000  4 Fe 2.86, 4 Sc 2.86

Results
ΔH_f (0 K) = 0.239 eV per atom
Crystal system = tetragonal
Space group = P4/mmm, No. 123

(12)
Material: Cs5Hg19
Method: DFT, SCAN
State: single point on PBEsol structure

Lattice parameters (Å, degrees): 9.8602 9.8602 9.8602 107.15 107.15 114.21
Last column: nearest neighbours and their distance in Å.
Element x y z (fractional)
Hg 0.2956 0.0457 0.9070  6 Hg 3.01-3.21
Cs 0.1190 0.3263 0.4453  15 Hg 3.64-4.07
Hg 0.2500 0.7500 0.5000  4 Hg 2.98
Cs 0.5000 0.5000 0.0000  16 Hg 3.75-4.01
Cs 0.3263 0.8810 0.2073  15 Hg 3.64-4.07
Hg 0.3433 0.7548 0.8183  5 Hg 2.98-3.10
Hg 0.8613 0.6114 0.9070  6 Hg 3.01-3.21
Hg 0.0457 0.1387 0.7501  6 Hg 3.01-3.21
Hg 0.9365 0.5250 0.1817  5 Hg 2.98-3.10
Hg 0.0635 0.4750 0.8183  5 Hg 2.98-3.10
Hg 0.7548 0.9365 0.4116  5 Hg 2.98-3.10
Hg 0.6114 0.7044 0.7501  6 Hg 3.01-3.21
Hg 0.0000 0.0000 0.0000  8 Hg 3.21
Hg 0.5250 0.3433 0.5884  5 Hg 2.98-3.10
Hg 0.7500 0.2500 0.5000  4 Hg 2.98
Hg 0.4750 0.6567 0.4116  5 Hg 2.98-3.10
Cs 0.6737 0.1190 0.7927  15 Hg 3.64-4.07
Hg 0.1387 0.3886 0.0930  6 Hg 3.01-3.21
Hg 0.2452 0.0635 0.5884  5 Hg 2.98-3.10
Hg 0.6567 0.2452 0.1817  5 Hg 2.98-3.10
Cs 0.8810 0.6737 0.5547  15 Hg 3.64-4.07
Hg 0.7044 0.9543 0.0930  6 Hg 3.01-3.21
Hg 0.9543 0.8613 0.2499  6 Hg 3.01-3.21
Hg 0.3886 0.2956 0.2499  6 Hg 3.01-3.21

Results
ΔH_f (0 K) = -0.287 eV per atom
Crystal system = tetragonal
Space group = I4/m, No. 87

| no. | N(E_F) (states/eV per cell) | VASP energy (eV/cell) |
| --- | --- | --- |
| 1 | 5.1 | -69.4 |
| 2 | 2.0 | -158.3 |
| 3 | 4.1 | -106.8 |
| 4 | 0.0 | -640.6 |
| 5 | 1.9 | -116.1 |
| 6 | 5.8 | -279.0 |
| 7 | 1.4 | -67.9 |
| 8 | 3.7 | -72.4 |
| 9 | 3.8 | -137.4 |
| 10 | 1.7 | -134.1 |
| 11 | 3.5 | -92.8 |
| 12 | 7.9 | -1491.1 |